A plane-wave DFT calculation with PBE was carried out for a relaxed LaHoAlAg crystal.

CIF file:
```
data_LaHoAlAg
_chemical_formula_sum 'La1 Ho1 Al1 Ag1'
_cell_length_a 3.629
_cell_length_b 3.629
_cell_length_c 7.746
_cell_angle_alpha 90.00
_cell_angle_beta 90.00
_cell_angle_gamma 90.00
_symmetry_space_group_name_H-M 'P 4 m m'
_symmetry_Int_Tables_number 99
loop_
_symmetry_equiv_pos_as_xyz
'x,y,z'
'-y,x,z'
'-x,-y,z'
'y,-x,z'
'-x,y,z'
'y,x,z'
'x,-y,z'
'-y,-x,z'
loop_
_atom_site_label
_atom_site_type_symbol
_atom_site_fract_x
_atom_site_fract_y
_atom_site_fract_z
La1 La 0.000 0.000 0.000
Ho1 Ho 0.000 0.000 0.493
Al1 Al 0.500 0.500 0.262
Ag1 Ag 0.500 0.500 0.705
```

Properties
M_tot   0.00 Bohr magnetons per cell
Offset from the most stable computed form   0 meV per atom
Uncorrected energy   -4.373 eV/atom
Formation energy   -33.6 kJ/mol of atoms